BaTePdI2 | GGA-PBE | optimized geometry

E_form (uncorrected) (eV/f.u.): 0.29
Total energy (eV per cell): -13.07
Volume (A^3/atom): 61.9
Energy above the most stable polymorph in this dataset (meV per atom): 913

a = 6.684 Å, b = 6.684 Å, c = 6.930 Å
α = 90.00°, β = 90.00°, γ = 90.00°
Sites, in units of the cell vectors:
I  0.000  0.500  0.000
I  0.500  0.000  0.000
Te  0.000  0.000  0.500
Ba  0.000  0.000  0.000
Pd  0.500  0.500  0.500